No. 1
LiThAlRh after structural relaxation, computed with GGA-PBE.

Cell: 6.7137 6.7137 6.7137 Å, 90.00 90.00 90.00°
Fractional coordinates of all 16 atoms:
Li 0.0000 0.0000 0.0000
Li 0.0000 0.5000 0.5000
Li 0.5000 0.0000 0.5000
Li 0.5000 0.5000 0.0000
Th 0.2500 0.2500 0.2500
Th 0.2500 0.7500 0.7500
Th 0.7500 0.2500 0.7500
Th 0.7500 0.7500 0.2500
Al 0.2500 0.2500 0.7500
Al 0.2500 0.7500 0.2500
Al 0.7500 0.2500 0.2500
Al 0.7500 0.7500 0.7500
Rh 0.0000 0.0000 0.5000
Rh 0.0000 0.5000 0.0000
Rh 0.5000 0.0000 0.0000
Rh 0.5000 0.5000 0.5000

Properties
calculated total energy: -5.629 eV/atom
crystal system: cubic
volume: 303 Å³/cell
calculated formation energy: -2.09 eV per formula unit

No. 2
LiTiAlRh after structural relaxation, computed with GGA-PBE.

Cell: 6.1011 6.1011 6.1011 Å, 90.00 90.00 90.00°
Fractional coordinates of all 16 atoms:
Li 0.0000 0.0000 0.0000
Li 0.0000 0.5000 0.5000
Li 0.5000 0.0000 0.5000
Li 0.5000 0.5000 0.0000
Ti 0.2500 0.2500 0.7500
Ti 0.2500 0.7500 0.2500
Ti 0.7500 0.2500 0.2500
Ti 0.7500 0.7500 0.7500
Al 0.2500 0.2500 0.2500
Al 0.2500 0.7500 0.7500
Al 0.7500 0.2500 0.7500
Al 0.7500 0.7500 0.2500
Rh 0.0000 0.0000 0.5000
Rh 0.0000 0.5000 0.0000
Rh 0.5000 0.0000 0.0000
Rh 0.5000 0.5000 0.5000

Properties
calculated total energy: -5.853 eV/atom
crystal system: cubic
volume: 227 Å³/cell
calculated formation energy: -2.51 eV per formula unit

No. 3
LiTmAlRh after structural relaxation, computed with GGA-PBE.

Cell: 6.4842 6.4842 6.4842 Å, 90.00 90.00 90.00°
Fractional coordinates of all 16 atoms:
Li 0.0000 0.0000 0.0000
Li 0.0000 0.5000 0.5000
Li 0.5000 0.0000 0.5000
Li 0.5000 0.5000 0.0000
Tm 0.2500 0.2500 0.2500
Tm 0.2500 0.7500 0.7500
Tm 0.7500 0.2500 0.7500
Tm 0.7500 0.7500 0.2500
Al 0.2500 0.2500 0.7500
Al 0.2500 0.7500 0.2500
Al 0.7500 0.2500 0.2500
Al 0.7500 0.7500 0.7500
Rh 0.0000 0.0000 0.5000
Rh 0.0000 0.5000 0.0000
Rh 0.5000 0.0000 0.0000
Rh 0.5000 0.5000 0.5000

Properties
calculated total energy: -4.980 eV/atom
crystal system: cubic
volume: 273 Å³/cell
calculated formation energy: -2.44 eV per formula unit

No. 4
LiAlRh2W after structural relaxation, computed with GGA-PBE.

Cell: 4.4527 4.4527 4.6636 Å, 90.00 90.00 90.00°
Fractional coordinates of all 5 atoms:
Li 0.0000 0.0000 0.0000
Al 0.5000 0.5000 0.5000
Rh 0.0000 0.5000 0.5000
Rh 0.5000 0.0000 0.5000
W 0.5000 0.5000 0.0000

Properties
calculated total energy: -5.596 eV/atom
crystal system: tetragonal
volume: 92 Å³/cell
calculated formation energy: 5.33 eV per formula unit